This record from Alexandria describes crystalline Ac4PmSb5 at its relaxed geometry. The functional is PBE-GGA.

Structure (POSCAR):
```
Ac4PmSb5
1.0
-3.578 1.738 -5.413
-6.379 -4.940 -1.538
-6.168 5.190 1.576
Ac Pm Sb
4 1 5
Direct
0.404 0.397 0.797 Ac
0.801 0.797 0.603 Ac
0.201 0.203 0.397 Ac
0.598 0.603 0.202 Ac
0.001 0.000 0.000 Pm
0.904 0.389 0.806 Sb
0.292 0.806 0.611 Sb
0.710 0.194 0.389 Sb
0.098 0.611 0.194 Sb
0.501 0.000 0.000 Sb
```

Computed properties:
Spin magnetization   0.0 μB/f.u.
Uncorrected formation energy   -1.195 eV per atom